# Ac8TlAg2, relaxed, DFT PBE
data_Ac8TlAg2
_cell_length_a 20.0168
_cell_length_b 5.6921
_cell_length_c 7.8686
_cell_angle_alpha 90.00
_cell_angle_beta 108.61
_cell_angle_gamma 90.00
_space_group_name_H-M_alt 'C 1 2/m 1'
_space_group_IT_number 12
_space_group_name_Hall '-C 2y'
loop_
_atom_site_label
_atom_site_fract_x
_atom_site_fract_y
_atom_site_fract_z
Ac1 0.0284 0.0000 0.2716
Ac2 0.0927 0.5000 0.9671
Ac3 0.1736 0.5000 0.4843
Ac4 0.1966 0.0000 0.8264
Tl1 0.0000 0.5000 0.5000
Ag1 0.1792 0.0000 0.2144
# **ρ**: 8.740 g/cm3
# **Volume**: 38.6 Å³ per atom
# **Energy above the lowest structure with this stoichiometry**: 0 meV/atom
# **E_form**: -113 meV/atom
# **Energy**: -84.35 eV for the cell shown

***

# Ac6Tl6Ag, relaxed, DFT PBE
data_Ac6Tl6Ag
_cell_length_a 6.9273
_cell_length_b 6.9273
_cell_length_c 11.4483
_cell_angle_alpha 90.00
_cell_angle_beta 90.00
_cell_angle_gamma 120.00
_space_group_name_H-M_alt 'P 6/m m m'
_space_group_IT_number 191
_space_group_name_Hall '-P 6 2'
loop_
_atom_site_label
_atom_site_fract_x
_atom_site_fract_y
_atom_site_fract_z
Ac1 0.0000 0.0000 0.2114
Ac2 0.3333 0.6667 0.0000
Ac3 0.3333 0.6667 0.5000
Tl1 0.0000 0.5000 0.2501
Ag1 0.0000 0.0000 0.5000
# **ρ**: 9.414 g/cm3
# **Volume**: 36.6 Å³ per atom
# **E_form**: -185 meV/atom
# **Energy**: -44.10 eV for the cell shown

***

# Ac3Tl2Ag4, relaxed, DFT PBE
data_Ac3Tl2Ag4
_cell_length_a 11.8370
_cell_length_b 4.9886
_cell_length_c 9.5855
_cell_angle_alpha 90.00
_cell_angle_beta 114.48
_cell_angle_gamma 90.00
_space_group_name_H-M_alt 'C 1 2/m 1'
_space_group_IT_number 12
_space_group_name_Hall '-C 2y'
loop_
_atom_site_label
_atom_site_fract_x
_atom_site_fract_y
_atom_site_fract_z
Ac1 0.0000 0.0000 0.0000
Ac2 0.1561 0.5000 0.6785
Tl1 0.1305 0.5000 0.2955
Ag1 0.0729 0.0000 0.4110
Ag2 0.2206 0.5000 0.0506
# **ρ**: 9.808 g/cm3
# **Volume**: 28.6 Å³ per atom
# **E_form**: -299 meV/atom
# **Energy**: -62.30 eV for the cell shown

***

# Ac4TlAg3, relaxed, DFT PBE
data_Ac4TlAg3
_cell_length_a 4.2393
_cell_length_b 5.0929
_cell_length_c 12.2339
_cell_angle_alpha 90.00
_cell_angle_beta 90.00
_cell_angle_gamma 90.00
_space_group_name_H-M_alt 'P m m 2'
_space_group_IT_number 25
_space_group_name_Hall 'P 2 -2'
loop_
_atom_site_label
_atom_site_fract_x
_atom_site_fract_y
_atom_site_fract_z
Ac1 0.0000 0.0000 0.0000
Ac2 0.0000 0.5000 0.2771
Ac3 0.5000 0.0000 0.4843
Ac4 0.5000 0.5000 0.7873
Tl1 0.0000 0.0000 0.7134
Ag1 0.0000 0.5000 0.5563
Ag2 0.5000 0.0000 0.2101
Ag3 0.5000 0.5000 0.0658
# **ρ**: 9.028 g/cm3
# **Volume**: 33.0 Å³ per atom
# **Energy above the lowest structure with this stoichiometry**: 21 meV/atom
# **E_form**: -265 meV/atom
# **Energy**: -29.47 eV for the cell shown

***

# Ac6Tl3Ag, relaxed, DFT PBE
data_Ac6Tl3Ag
_cell_length_a 10.2698
_cell_length_b 5.7293
_cell_length_c 12.9109
_cell_angle_alpha 90.00
_cell_angle_beta 107.15
_cell_angle_gamma 90.00
_space_group_name_H-M_alt 'P 1 21/m 1'
_space_group_IT_number 11
_space_group_name_Hall '-P 2yb'
loop_
_atom_site_label
_atom_site_fract_x
_atom_site_fract_y
_atom_site_fract_z
Ac1 0.0167 0.2500 0.3999
Ac2 0.1586 0.7500 0.1770
Ac3 0.2558 0.2500 0.0010
Ac4 0.3612 0.7500 0.8380
Ac5 0.3724 0.2500 0.3480
Ac6 0.3889 0.2500 0.6256
Tl1 0.0348 0.7500 0.8890
Tl2 0.1266 0.2500 0.7257
Tl3 0.2719 0.7500 0.4692
Ag1 0.4481 0.7500 0.1134
# **ρ**: 9.530 g/cm3
# **Volume**: 36.3 Å³ per atom
# **Energy above the lowest structure with this stoichiometry**: 0 meV/atom
# **E_form**: -219 meV/atom
# **Energy**: -73.59 eV for the cell shown

***

# Ac2Tl3Ag2, relaxed, DFT PBE
data_Ac2Tl3Ag2
_cell_length_a 4.8092
_cell_length_b 22.3559
_cell_length_c 3.9441
_cell_angle_alpha 90.00
_cell_angle_beta 90.00
_cell_angle_gamma 90.00
_space_group_name_H-M_alt 'C m m m'
_space_group_IT_number 65
_space_group_name_Hall '-C 2 2'
loop_
_atom_site_label
_atom_site_fract_x
_atom_site_fract_y
_atom_site_fract_z
Ac1 0.0000 0.1606 0.0000
Tl1 0.0000 0.0000 0.0000
Tl2 0.0000 0.4271 0.5000
Ag1 0.0000 0.2843 0.5000
# **ρ**: 10.047 g/cm3
# **Volume**: 30.3 Å³ per atom
# **Energy above the lowest structure with this stoichiometry**: 19 meV/atom
# **E_form**: -221 meV/atom
# **Energy**: -45.13 eV for the cell shown